(1)
Computed, not measured: a geometry-optimized NaSrSmTl structure at the PBE level of DFT.

Unit cell a=5.696 b=5.696 c=5.696 alpha=60.00 beta=60.00 gamma=60.00
Fractional coordinates of all 4 atoms:
1 Tl 0.500 0.500 0.500
2 Sr 0.250 0.250 0.250
3 Na 0.000 0.000 0.000
4 Sm 0.750 0.750 0.750

crystal system: cubic
DFT formation energy: -0.099 eV/atom
symmetry: F-43m



(2)
Computed, not measured: a geometry-optimized PmSm5Tl4 structure at the PBE level of DFT.

Unit cell a=3.655 b=3.655 c=22.417 alpha=90.00 beta=90.00 gamma=90.00
Fractional coordinates of all 10 atoms:
1 Sm 0.500 0.500 0.116
2 Sm 0.500 0.500 0.500
3 Sm 0.500 0.500 0.693
4 Sm 0.500 0.500 0.884
5 Sm 0.500 0.500 0.307
6 Tl 0.000 0.000 0.789
7 Tl 0.000 0.000 0.404
8 Tl 0.000 0.000 0.596
9 Tl 0.000 0.000 0.211
10 Pm 0.000 0.000 0.000

crystal system: tetragonal
DFT formation energy: -0.293 eV/atom
symmetry: P4/mmm



(3)
Computed, not measured: a geometry-optimized GdTmCd2 structure at the PBE level of DFT.

Unit cell a=3.712 b=3.712 c=7.562 alpha=90.00 beta=90.00 gamma=90.00
Site moments in Bohr magnetons follow the coordinates.
Fractional coordinates of all 4 atoms:
1 Cd 0.000 0.000 0.761  0.01
2 Cd 0.000 0.000 0.239  0.01
3 Tm 0.500 0.500 0.000  0.08
4 Gd 0.500 0.500 0.500  7.23

crystal system: tetragonal
energy above the most stable polymorph in this dataset: 0.00 eV/f.u.
DFT formation energy: -0.329 eV/atom
symmetry: P4/mmm



(4)
Computed, not measured: a geometry-optimized YMnOs2 structure at the PBE level of DFT.

Unit cell a=4.184 b=2.890 c=5.846 alpha=75.64 beta=90.00 gamma=90.00
Site moments in Bohr magnetons follow the coordinates.
Fractional coordinates of all 4 atoms:
1 Y 0.500 0.250 0.250  0.01
2 Mn 0.500 0.750 0.750  2.85
3 Os 0.000 0.567 0.550  0.03
4 Os 0.000 0.933 0.950  0.03

crystal system: monoclinic
energy above the most stable polymorph in this dataset: 0.62 eV/f.u.
DFT formation energy: 0.293 eV/atom
symmetry: P2/m



(5)
Computed, not measured: a geometry-optimized K2TbAlO4 structure at the PBE level of DFT.

Unit cell a=3.299 b=5.609 c=6.460 alpha=107.21 beta=90.00 gamma=90.00
Fractional coordinates of all 8 atoms:
1 K 0.000 0.500 0.500
2 K 0.500 0.000 0.500
3 Al 0.000 0.000 0.000
4 O 0.500 0.797 0.823
5 O 0.000 0.765 0.174
6 O 0.000 0.235 0.826
7 O 0.500 0.203 0.177
8 Tb 0.500 0.500 0.000

crystal system: monoclinic
energy relative to the elements, uncorrected: -232 kJ per mole of atoms
symmetry: P2/m



(6)
Computed, not measured: a geometry-optimized Nd3H2 structure at the PBE level of DFT.

Unit cell a=6.495 b=6.495 c=6.910 alpha=61.96 beta=61.96 gamma=60.00
Fractional coordinates of all 10 atoms:
1 Nd 0.750 0.417 0.750
2 Nd 0.250 0.583 0.250
3 Nd 0.917 0.250 0.250
4 Nd 0.083 0.750 0.750
5 Nd 0.417 0.083 0.750
6 Nd 0.583 0.917 0.250
7 H 0.833 0.833 0.500
8 H 0.167 0.167 0.500
9 H 0.333 0.333 0.000
10 H 0.667 0.667 0.000

crystal system: trigonal
symmetry: R-3c



Here are the calculated E_tot numbers, same order: -2.6210 -4.0742 -5.4249 -9.2308 -6.2071 -4.4605 (eV per atom).